(1)
DFT (GGA-PBE) results for a geometry-optimized Y2GeRh3 structure.

Unit cell a=5.1289 b=5.1289 c=5.1289 alpha=66.26 beta=66.26 gamma=66.26
Sites, in units of the cell vectors:
Rh 0.5000 0.0000 0.0000
Y 0.6289 0.6289 0.6289
Rh 0.0000 0.0000 0.5000
Y 0.3711 0.3711 0.3711
Ge 0.0000 0.0000 0.0000
Rh 0.0000 0.5000 0.0000

Results
* space group: R-3m (166)

(2)
DFT (GGA-PBE) results for a geometry-optimized YGe3Rh structure.

Unit cell a=5.8263 b=5.6298 c=5.9861 alpha=90.00 beta=90.00 gamma=90.00
Sites, in units of the cell vectors:
Ge 0.8579 0.0817 0.7009
Y 0.9248 0.0281 0.2007
Ge 0.4680 0.8595 0.4358
Ge 0.4679 0.8595 0.9657
Ge 0.9682 0.4932 0.9359
Rh 0.6596 0.5573 0.2007
Ge 0.9681 0.4932 0.4656
Y 0.4248 0.3245 0.7008
Rh 0.1595 0.7954 0.7007
Ge 0.3576 0.2715 0.2010

Results
* space group: Pmn2_1 (31)

One value per record, in order, for ΔH_f (0 K): -5.30, -2.98 eV/f.u..
One value per record, in order, for calculated volume: 18.0, 19.6 Å³/atom.